Entry 1:
BeReSnBi: relaxed, PBE-GGA.

Geometry as POSCAR:
```
BeReSnBi
1.0
0.000 3.353 3.353
3.353 0.000 3.353
3.353 3.353 0.000
Be Re Sn Bi
1 1 1 1
Cartesian
0.000 0.000 0.000
3.353 3.353 3.353
5.029 5.029 5.029
1.676 1.676 1.676
```

Results
The polymorph energy (0 for the lowest one) comes out at 0.0 meV/atom.

---

Entry 2:
TbSi2OsPd: relaxed, PBE-GGA.

Geometry as POSCAR:
```
TbSi2OsPd
1.0
-2.043 2.043 5.031
2.043 -2.043 5.031
2.043 2.043 -5.031
Tb Si Os Pd
1 2 1 1
Cartesian
0.000 0.000 0.000
0.000 0.000 3.825
0.000 0.000 6.237
0.000 2.043 2.515
2.043 0.000 2.515
```

Results
The value obtained for the total energy is -35.96 eV/cell.